No. 1
First-principles (GGA-PBE) data for a geometry-optimized ThMnHg structure, as listed in Alexandria.

Unit cell a=4.1526 b=16.9919 c=3.8530 alpha=90.00 beta=90.00 gamma=90.00
Closest atoms and distances in Å follow each position.
Positions (direct):
1 Th 0.0000 0.0955 0.2500  6 Mn 2.99-3.03
2 Th 0.0000 0.9045 0.7500  6 Mn 2.99-3.03
3 Th 0.5000 0.4045 0.7500  6 Mn 2.99-3.03
4 Th 0.5000 0.5955 0.2500  6 Mn 2.99-3.03
5 Mn 0.0000 0.4687 0.2500  2 Mn 2.20
6 Mn 0.0000 0.5313 0.7500  2 Mn 2.20
7 Mn 0.5000 0.0313 0.7500  2 Mn 2.20
8 Mn 0.5000 0.9687 0.2500  2 Mn 2.20
9 Hg 0.0000 0.2973 0.2500  1 Mn 2.91, 4 Hg 3.26
10 Hg 0.0000 0.7027 0.7500  1 Mn 2.91, 4 Hg 3.26
11 Hg 0.5000 0.2027 0.7500  1 Mn 2.91, 4 Hg 3.26
12 Hg 0.5000 0.7973 0.2500  1 Mn 2.91, 4 Hg 3.26

Calculated values
* theoretical density: 11.91 g/cm3
* uncorrected energy: -5.757 eV per atom

No. 2
First-principles (GGA-PBE) data for a geometry-optimized AcPr2I structure, as listed in Alexandria.

Unit cell a=3.8293 b=3.8293 c=9.9277 alpha=90.00 beta=90.00 gamma=90.00
Closest atoms and distances in Å follow each position.
Positions (direct):
1 Ac 0.0000 0.0000 0.0000  8 Pr 3.78, 4 Ac 3.83
2 Pr 0.5000 0.5000 0.2660  4 I 3.57, 4 Ac 3.78, 4 Pr 3.83
3 Pr 0.5000 0.5000 0.7340  4 I 3.57, 4 Ac 3.78, 4 Pr 3.83
4 I 0.0000 0.0000 0.5000  8 Pr 3.57, 4 I 3.83

Calculated values
* formation energy (no corrections): -0.35 eV per atom
* theoretical density: 7.25 g/cm3
* uncorrected energy: -4.159 eV per atom

No. 3
First-principles (GGA-PBE) data for a geometry-optimized Tb2Pm6Ho structure, as listed in Alexandria.

Unit cell a=10.1138 b=10.1138 c=6.2253 alpha=94.88 beta=94.88 gamma=71.23
Closest atoms and distances in Å follow each position.
Positions (direct):
1 Tb 0.0683 0.2655 0.0831  8 Pm 3.44-3.55
2 Tb 0.2655 0.0683 0.5831  8 Pm 3.44-3.55
3 Tb 0.7345 0.9317 0.4169  8 Pm 3.44-3.55
4 Tb 0.9317 0.7345 0.9169  8 Pm 3.44-3.55
5 Pm 0.0937 0.8120 0.4863  4 Pm 3.34-3.66, 3 Tb 3.44-3.54, 1 Ho 3.53
6 Pm 0.1465 0.4271 0.6525  4 Pm 3.36-3.65, 3 Tb 3.44-3.53, 1 Ho 3.53
7 Pm 0.1880 0.9063 0.0137  4 Pm 3.34-3.66, 3 Tb 3.44-3.54, 1 Ho 3.53
8 Pm 0.2404 0.5219 0.1803  4 Pm 3.34-3.65, 2 Ho 3.43-3.51, 2 Tb 3.53-3.55
9 Pm 0.4271 0.1465 0.1525  4 Pm 3.36-3.65, 3 Tb 3.44-3.53, 1 Ho 3.53
10 Pm 0.4781 0.7596 0.3197  4 Pm 3.34-3.65, 2 Ho 3.43-3.51, 2 Tb 3.53-3.55
11 Pm 0.5219 0.2404 0.6803  4 Pm 3.34-3.65, 2 Ho 3.43-3.51, 2 Tb 3.53-3.55
12 Pm 0.5729 0.8535 0.8475  4 Pm 3.36-3.65, 3 Tb 3.44-3.53, 1 Ho 3.53
13 Pm 0.7596 0.4781 0.8197  4 Pm 3.34-3.65, 2 Ho 3.43-3.51, 2 Tb 3.53-3.55
14 Pm 0.8120 0.0937 0.9863  4 Pm 3.34-3.66, 3 Tb 3.44-3.54, 1 Ho 3.53
15 Pm 0.8535 0.5729 0.3475  4 Pm 3.36-3.65, 3 Tb 3.44-3.53, 1 Ho 3.53
16 Pm 0.9063 0.1880 0.5137  4 Pm 3.34-3.66, 3 Tb 3.44-3.54, 1 Ho 3.53
17 Ho 0.4015 0.5985 0.7500  8 Pm 3.43-3.53
18 Ho 0.5985 0.4015 0.2500  8 Pm 3.43-3.53

Calculated values
* theoretical density: 7.49 g/cm3
* uncorrected energy: -4.621 eV per atom

No. 4
First-principles (GGA-PBE) data for a geometry-optimized SrLi2SnHg5 structure, as listed in Alexandria.

Unit cell a=5.2416 b=5.2416 c=8.0571 alpha=90.00 beta=90.00 gamma=90.00
Closest atoms and distances in Å follow each position.
Positions (direct):
1 Sr 0.0000 0.0000 0.0000  12 Hg 3.41-3.71
2 Li 0.5000 0.5000 0.3369  1 Li 2.63, 5 Hg 2.68-2.71
3 Li 0.5000 0.5000 0.6631  1 Li 2.63, 5 Hg 2.68-2.71
4 Sn 0.0000 0.0000 0.5000  8 Hg 3.21
5 Hg 0.0000 0.5000 0.2698  2 Li 2.68
6 Hg 0.0000 0.5000 0.7302  2 Li 2.68
7 Hg 0.5000 0.0000 0.2698  2 Li 2.68
8 Hg 0.5000 0.0000 0.7302  2 Li 2.68
9 Hg 0.5000 0.5000 0.0000  2 Li 2.71

Calculated values
* theoretical density: 9.18 g/cm3
* uncorrected energy: -1.480 eV per atom

No. 5
First-principles (GGA-PBE) data for a geometry-optimized Hg2PbSe structure, as listed in Alexandria.

Unit cell a=4.3505 b=5.9503 c=8.9885 alpha=90.00 beta=90.00 gamma=90.00
Closest atoms and distances in Å follow each position.
Positions (direct):
1 Hg 0.0000 0.0000 0.0000  2 Hg 3.16, 2 Pb 3.32
2 Hg 0.0000 0.5000 0.2448  2 Se 3.16, 2 Hg 3.16
3 Hg 0.5000 0.0000 0.7448  2 Se 3.16, 2 Hg 3.16
4 Hg 0.5000 0.5000 0.5000  2 Hg 3.16, 2 Pb 3.32
5 Pb 0.0000 0.5000 0.7793  2 Se 2.89
6 Pb 0.5000 0.0000 0.2793  2 Se 2.89
7 Se 0.0000 0.0000 0.4905  2 Pb 2.89, 2 Hg 3.16
8 Se 0.5000 0.5000 0.9905  2 Pb 2.89, 2 Hg 3.16

Calculated values
* formation energy (no corrections): -0.06 eV per atom
* theoretical density: 9.81 g/cm3
* uncorrected energy: -2.012 eV per atom

No. 6
First-principles (GGA-PBE) data for a geometry-optimized NaTiS3 structure, as listed in Alexandria.

Unit cell a=7.1096 b=7.1096 c=8.1514 alpha=90.00 beta=90.00 gamma=150.67
Closest atoms and distances in Å follow each position.
Positions (direct):
1 Na 0.2419 0.7581 0.7500  6 S 2.77-2.98
2 Na 0.7581 0.2419 0.2500  6 S 2.77-2.98
3 Ti 0.5000 0.5000 0.0000  6 S 2.38-2.49
4 Ti 0.5000 0.5000 0.5000  6 S 2.38-2.49
5 S 0.1076 0.8924 0.1080  1 S 2.31, 2 Ti 2.49
6 S 0.1076 0.8924 0.3920  1 S 2.31, 2 Ti 2.49
7 S 0.4109 0.5891 0.2500  2 Ti 2.38
8 S 0.5891 0.4109 0.7500  2 Ti 2.38
9 S 0.8924 0.1076 0.6080  1 S 2.31, 2 Ti 2.49
10 S 0.8924 0.1076 0.8920  1 S 2.31, 2 Ti 2.49

Calculated values
* formation energy (no corrections): -1.00 eV per atom
* theoretical density: 2.75 g/cm3
* uncorrected energy: -5.319 eV per atom

- Look up the uncorrected energy of the third one.
  -4.621 eV per atom